19
Lattice="4.4454 6.3365 -0.0228 -4.4454 6.3365 -0.0228 0.0000 1.7155 6.3181" Properties=species:S:1:pos:R:3 comment="Rb5Ni2F12 PBE+U relaxed" mass_density_kg_m3=3601 dft_energy_ev_per_atom=-3.785 pbc="T T T"
Rb 0.0000 3.4150 0.3756
Rb 0.0000 5.4506 3.2560
Rb 0.0000 0.8578 3.1590
Rb 0.0000 8.9380 3.0165
Rb 0.0000 10.9736 5.8968
Ni -2.7611 6.3365 -0.0228
Ni 2.7611 6.3365 -0.0228
F 0.0000 2.5857 5.5181
F 2.0092 5.2484 1.3552
F -2.0092 5.2484 1.3552
F 2.6389 6.5470 5.0714
F -2.6389 6.5470 5.0714
F 0.0000 7.4998 5.4711
F 0.0000 6.8888 0.8014
F -2.6389 7.8416 1.2010
F 2.6389 7.8416 1.2010
F -2.0092 9.1402 4.9172
F 2.0092 9.1402 4.9172
F 0.0000 11.8029 0.7544